# CsIn2Ge | Alexandria | GGA-PBE | optimized geometry
data_CsIn2Ge
_symmetry_space_group_name_H-M 'P 4/m m m'
_symmetry_Int_Tables_number 123
_symmetry_space_group_name_Hall '-P 4 2'
_cell_length_a 3.767
_cell_length_b 3.767
_cell_length_c 9.031
_cell_angle_alpha 90.00
_cell_angle_beta 90.00
_cell_angle_gamma 90.00
loop_
_atom_site_label
_atom_site_type_symbol
_atom_site_fract_x
_atom_site_fract_y
_atom_site_fract_z
Cs1 Cs 0.000 0.000 0.000
In1 In 0.500 0.500 0.324
Ge1 Ge 0.000 0.000 0.500
# - M_tot (μB per formula unit) = 0.00
# - crystal system = tetragonal
# - calculated density (g cm⁻³) = 5.64
# - VASP energy (eV per atom) = -2.71
# - energy of formation from the pure elements (meV per atom) = 28.1

# Cs2InGe | Alexandria | GGA-PBE | optimized geometry
data_Cs2InGe
_symmetry_space_group_name_H-M 'I -4 2 d'
_symmetry_Int_Tables_number 122
_symmetry_space_group_name_Hall 'I -4 2bw'
_cell_length_a 5.134
_cell_length_b 5.134
_cell_length_c 26.027
_cell_angle_alpha 90.00
_cell_angle_beta 90.00
_cell_angle_gamma 90.00
loop_
_atom_site_label
_atom_site_type_symbol
_atom_site_fract_x
_atom_site_fract_y
_atom_site_fract_z
Cs1 Cs 0.249 0.250 0.125
In1 In 0.000 0.000 0.500
Ge1 Ge 0.000 0.000 0.000
# - M_tot (μB per formula unit) = 0.06
# - crystal system = tetragonal
# - calculated density (g cm⁻³) = 4.39
# - distance to the lowest polymorph of the same formula (meV/atom) = 537.0
# - VASP energy (eV per atom) = -1.78
# - energy of formation from the pure elements (meV per atom) = 486.3

# CsInGeIr | Alexandria | GGA-PBE | optimized geometry
data_CsInGeIr
_symmetry_space_group_name_H-M 'P 4/n m m'
_symmetry_Int_Tables_number 129
_cell_length_a 4.188
_cell_length_b 4.188
_cell_length_c 14.736
_cell_angle_alpha 90.00
_cell_angle_beta 90.00
_cell_angle_gamma 90.00
loop_
_symmetry_equiv_pos_as_xyz
'x,y,z'
'-x,-y,-z'
'-y+1/2,x,z'
'y+1/2,-x,-z'
'-x+1/2,-y+1/2,z'
'x+1/2,y+1/2,-z'
'y,-x+1/2,z'
'-y,x+1/2,-z'
'x+1/2,-y,-z'
'-x+1/2,y,z'
'-y,-x,-z'
'y,x,z'
'-x,y+1/2,-z'
'x,-y+1/2,z'
'y+1/2,x+1/2,-z'
'-y+1/2,-x+1/2,z'
loop_
_atom_site_label
_atom_site_type_symbol
_atom_site_fract_x
_atom_site_fract_y
_atom_site_fract_z
Cs1 Cs 0.250 0.250 0.239
In1 In 0.250 0.750 0.500
Ge1 Ge 0.250 0.250 0.909
Ir1 Ir 0.250 0.750 0.000
# - M_tot (μB per formula unit) = 0.00
# - crystal system = tetragonal
# - calculated density (g cm⁻³) = 6.59
# - VASP energy (eV per atom) = -4.44
# - energy of formation from the pure elements (meV per atom) = -175.0

# CsK2InGe | Alexandria | GGA-PBE | optimized geometry
data_CsK2InGe
_symmetry_space_group_name_H-M 'P 4/m m m'
_symmetry_Int_Tables_number 123
_symmetry_space_group_name_Hall '-P 4 2'
_cell_length_a 6.704
_cell_length_b 6.704
_cell_length_c 5.490
_cell_angle_alpha 90.00
_cell_angle_beta 90.00
_cell_angle_gamma 90.00
loop_
_atom_site_label
_atom_site_type_symbol
_atom_site_fract_x
_atom_site_fract_y
_atom_site_fract_z
Cs1 Cs 0.000 0.000 0.000
K1 K 0.000 0.500 0.500
In1 In 0.500 0.500 0.000
Ge1 Ge 0.500 0.500 0.500
# - M_tot (μB per formula unit) = 0.31
# - crystal system = tetragonal
# - calculated density (g cm⁻³) = 2.68
# - VASP energy (eV per atom) = -2.05
# - energy of formation from the pure elements (meV per atom) = 32.1

# CsNaInGe2 | Alexandria | GGA-PBE | optimized geometry
data_CsNaInGe2
_symmetry_space_group_name_H-M 'P 4/m m m'
_symmetry_Int_Tables_number 123
_symmetry_space_group_name_Hall '-P 4 2'
_cell_length_a 5.492
_cell_length_b 5.492
_cell_length_c 5.896
_cell_angle_alpha 90.00
_cell_angle_beta 90.00
_cell_angle_gamma 90.00
loop_
_atom_site_label
_atom_site_type_symbol
_atom_site_fract_x
_atom_site_fract_y
_atom_site_fract_z
Cs1 Cs 0.000 0.000 0.000
Na1 Na 0.500 0.500 0.000
In1 In 0.500 0.500 0.500
Ge1 Ge 0.000 0.500 0.500
# - M_tot (μB per formula unit) = 0.00
# - crystal system = tetragonal
# - calculated density (g cm⁻³) = 3.88
# - VASP energy (eV per atom) = -2.56
# - energy of formation from the pure elements (meV per atom) = 265.2

# CsInGeO4 | Alexandria | GGA-PBE | optimized geometry
data_CsInGeO4
_symmetry_space_group_name_H-M 'P 1 21/m 1'
_symmetry_Int_Tables_number 11
_cell_length_a 5.653
_cell_length_b 5.923
_cell_length_c 8.145
_cell_angle_alpha 90.00
_cell_angle_beta 110.08
_cell_angle_gamma 90.00
loop_
_symmetry_equiv_pos_as_xyz
'x,y,z'
'-x,-y,-z'
'-x,y+1/2,-z'
'x,-y+1/2,z'
loop_
_atom_site_label
_atom_site_type_symbol
_atom_site_fract_x
_atom_site_fract_y
_atom_site_fract_z
Cs1 Cs 0.246 0.250 0.436
In1 In 0.341 0.750 0.035
Ge1 Ge 0.100 0.250 0.859
O1 O 0.068 0.250 0.067
O2 O 0.219 0.750 0.279
O3 O 0.310 0.027 0.841
# - M_tot (μB per formula unit) = 0.00
# - crystal system = monoclinic
# - ΔE_f (raw) (eV per atom) = -1.62
# - calculated density (g cm⁻³) = 4.98
# - VASP energy (eV per atom) = -5.63

# Cs2InGe2O6 | Alexandria | GGA-PBE | optimized geometry
data_Cs2InGe2O6
_symmetry_space_group_name_H-M 'R -3 m'
_symmetry_Int_Tables_number 166
_symmetry_space_group_name_Hall '-R 3 2"'
_cell_length_a 6.0965
_cell_length_b 6.0965
_cell_length_c 18.1950
_cell_angle_alpha 90.00
_cell_angle_beta 90.00
_cell_angle_gamma 120.00
loop_
_atom_site_label
_atom_site_type_symbol
_atom_site_fract_x
_atom_site_fract_y
_atom_site_fract_z
Cs1 Cs 0.0000 0.0000 0.2176
In1 In 0.0000 0.0000 0.0000
Ge1 Ge 0.0000 0.0000 0.4214
O1 O 0.0061 0.5031 0.2616
# - M_tot (μB per formula unit) = 0.00
# - crystal system = trigonal
# - ΔE_f (raw) (eV per atom) = -1.48
# - calculated density (g cm⁻³) = 5.29
# - VASP energy (eV per atom) = -5.43

# Cs2InGeO4 | Alexandria | GGA-PBE | optimized geometry
data_Cs2InGeO4
_symmetry_space_group_name_H-M 'F d d d'
_symmetry_Int_Tables_number 70
_cell_length_a 5.694
_cell_length_b 13.124
_cell_length_c 23.226
_cell_angle_alpha 90.00
_cell_angle_beta 90.00
_cell_angle_gamma 90.00
loop_
_symmetry_equiv_pos_as_xyz
'x,y,z'
'-x,-y,-z'
'-x+1/4,-y+1/4,z'
'x+1/4,y+1/4,-z'
'x,-y+1/4,-z+1/4'
'-x,y+1/4,z+1/4'
'-x+1/4,y,-z+1/4'
'x+1/4,-y,z+1/4'
'x,y+1/2,z+1/2'
'-x,-y+1/2,-z+1/2'
'-x+1/4,-y+3/4,z+1/2'
'x+1/4,y+3/4,-z+1/2'
'x,-y+3/4,-z+3/4'
'-x,y+3/4,z+3/4'
'-x+1/4,y+1/2,-z+3/4'
'x+1/4,-y+1/2,z+3/4'
'x+1/2,y,z+1/2'
'-x+1/2,-y,-z+1/2'
'-x+3/4,-y+1/4,z+1/2'
'x+3/4,y+1/4,-z+1/2'
'x+1/2,-y+1/4,-z+3/4'
'-x+1/2,y+1/4,z+3/4'
'-x+3/4,y,-z+3/4'
'x+3/4,-y,z+3/4'
'x+1/2,y+1/2,z'
'-x+1/2,-y+1/2,-z'
'-x+3/4,-y+3/4,z'
'x+3/4,y+3/4,-z'
'x+1/2,-y+3/4,-z+1/4'
'-x+1/2,y+3/4,z+1/4'
'-x+3/4,y+1/2,-z+1/4'
'x+3/4,-y+1/2,z+1/4'
loop_
_atom_site_label
_atom_site_type_symbol
_atom_site_fract_x
_atom_site_fract_y
_atom_site_fract_z
Cs1 Cs 0.125 0.125 0.302
In1 In 0.125 0.125 0.125
Ge1 Ge 0.125 0.125 0.625
O1 O 0.077 0.295 0.835
# - M_tot (μB per formula unit) = 0.00
# - crystal system = orthorhombic
# - ΔE_f (raw) (eV per atom) = -1.39
# - calculated density (g cm⁻³) = 3.96
# - VASP energy (eV per atom) = -5.01

# CsInGeSe4 | Alexandria | GGA-PBE | optimized geometry
data_CsInGeSe4
_symmetry_space_group_name_H-M 'P 1 21/m 1'
_symmetry_Int_Tables_number 11
_cell_length_a 6.645
_cell_length_b 8.150
_cell_length_c 10.113
_cell_angle_alpha 90.00
_cell_angle_beta 107.89
_cell_angle_gamma 90.00
loop_
_symmetry_equiv_pos_as_xyz
'x,y,z'
'-x,-y,-z'
'-x,y+1/2,-z'
'x,-y+1/2,z'
loop_
_atom_site_label
_atom_site_type_symbol
_atom_site_fract_x
_atom_site_fract_y
_atom_site_fract_z
Cs1 Cs 0.244 0.250 0.405
In1 In 0.203 0.250 0.820
Ge1 Ge 0.305 0.750 0.195
Se1 Se 0.004 0.250 0.003
Se2 Se 0.161 0.750 0.387
Se3 Se 0.464 0.020 0.789
# - M_tot (μB per formula unit) = 0.00
# - crystal system = monoclinic
# - ΔE_f (raw) (eV per atom) = -0.64
# - calculated density (g cm⁻³) = 4.05
# - VASP energy (eV per atom) = -3.81

# Cs2In3Sn4Ge | Alexandria | GGA-PBE | optimized geometry
data_Cs2In3Sn4Ge
_symmetry_space_group_name_H-M 'P -4 m 2'
_symmetry_Int_Tables_number 115
_cell_length_a 5.304
_cell_length_b 5.304
_cell_length_c 11.772
_cell_angle_alpha 90.00
_cell_angle_beta 90.00
_cell_angle_gamma 90.00
loop_
_symmetry_equiv_pos_as_xyz
'x,y,z'
'y,-x,-z'
'-x,-y,z'
'-y,x,-z'
'-x,y,z'
'-y,-x,-z'
'x,-y,z'
'y,x,-z'
loop_
_atom_site_label
_atom_site_type_symbol
_atom_site_fract_x
_atom_site_fract_y
_atom_site_fract_z
Cs1 Cs 0.000 0.500 0.244
In1 In 0.000 0.000 0.000
In2 In 0.000 0.500 0.629
Sn1 Sn 0.000 0.000 0.500
Sn2 Sn 0.000 0.500 0.883
Sn3 Sn 0.500 0.500 0.500
Ge1 Ge 0.500 0.500 0.000
# - M_tot (μB per formula unit) = 0.00
# - crystal system = tetragonal
# - calculated density (g cm⁻³) = 5.81
# - VASP energy (eV per atom) = -3.19
# - energy of formation from the pure elements (meV per atom) = -136.3

# Cs2In4Sn3Ge | Alexandria | GGA-PBE | optimized geometry
data_Cs2In4Sn3Ge
_symmetry_space_group_name_H-M 'P -4 m 2'
_symmetry_Int_Tables_number 115
_cell_length_a 5.242
_cell_length_b 5.242
_cell_length_c 11.972
_cell_angle_alpha 90.00
_cell_angle_beta 90.00
_cell_angle_gamma 90.00
loop_
_symmetry_equiv_pos_as_xyz
'x,y,z'
'y,-x,-z'
'-x,-y,z'
'-y,x,-z'
'-x,y,z'
'-y,-x,-z'
'x,-y,z'
'y,x,-z'
loop_
_atom_site_label
_atom_site_type_symbol
_atom_site_fract_x
_atom_site_fract_y
_atom_site_fract_z
Cs1 Cs 0.000 0.500 0.246
In1 In 0.000 0.000 0.500
In2 In 0.000 0.500 0.880
In3 In 0.500 0.500 0.500
Sn1 Sn 0.000 0.000 0.000
Sn2 Sn 0.000 0.500 0.631
Ge1 Ge 0.500 0.500 0.000
# - M_tot (μB per formula unit) = 0.00
# - crystal system = tetragonal
# - calculated density (g cm⁻³) = 5.82
# - VASP energy (eV per atom) = -3.07
# - energy of formation from the pure elements (meV per atom) = -138.0

# CsIn2SnGe | Alexandria | GGA-PBE | optimized geometry
data_CsIn2SnGe
_symmetry_space_group_name_H-M 'I -4 m 2'
_symmetry_Int_Tables_number 119
_symmetry_space_group_name_Hall 'I -4 -2'
_cell_length_a 5.126
_cell_length_b 5.126
_cell_length_c 12.110
_cell_angle_alpha 90.00
_cell_angle_beta 90.00
_cell_angle_gamma 90.00
loop_
_atom_site_label
_atom_site_type_symbol
_atom_site_fract_x
_atom_site_fract_y
_atom_site_fract_z
Cs1 Cs 0.000 0.000 0.000
In1 In 0.000 0.000 0.376
Sn1 Sn 0.000 0.500 0.250
Ge1 Ge 0.000 0.500 0.750
# - M_tot (μB per formula unit) = 0.00
# - crystal system = tetragonal
# - calculated density (g cm⁻³) = 5.78
# - VASP energy (eV per atom) = -3.08
# - energy of formation from the pure elements (meV per atom) = -89.0